## Li2AcMgTl4 (PBE-GGA)

Data for an optimized crystal structure of Li2AcMgTl4.

Unit cell a=4.972 b=4.972 c=10.234 alpha=75.94 beta=75.94 gamma=60.00
Fractional positions:
Li: 0.767 0.767 0.700
Li: 0.233 0.233 0.300
Tl: 0.397 0.397 0.810
Tl: 0.603 0.603 0.190
Tl: 0.124 0.124 0.628
Tl: 0.876 0.876 0.372
Ac: 0.000 0.000 0.000
Mg: 0.500 0.500 0.500

Computed properties:
Total DFT energy (no corrections) (eV/atom): -2.61
Density (g/cm3): 8.5

=====

## LiAc2MgTl6 (PBE-GGA)

Data for an optimized crystal structure of LiAc2MgTl6.

Unit cell a=7.520 b=7.519 c=7.513 alpha=60.00 beta=60.00 gamma=89.98
Fractional positions:
Tl: 0.740 0.740 0.519
Tl: 0.260 0.740 0.000
Tl: 0.260 0.260 0.000
Tl: 0.260 0.260 0.481
Tl: 0.740 0.260 0.000
Tl: 0.740 0.740 0.000
Ac: 0.750 0.250 0.500
Ac: 0.250 0.750 0.500
Mg: 0.000 0.000 0.000
Li: 0.500 0.500 0.000

Computed properties:
Total DFT energy (no corrections) (eV/atom): -2.71
Density (g/cm3): 9.5

=====

## LiAcMgTl2 (PBE-GGA)

Data for an optimized crystal structure of LiAcMgTl2.

Unit cell a=4.738 b=4.738 c=7.050 alpha=109.63 beta=109.63 gamma=90.00
Fractional positions:
Ac: 0.000 0.000 0.000
Li: 0.250 0.750 0.500
Mg: 0.750 0.250 0.500
Tl: 0.619 0.619 0.239
Tl: 0.381 0.381 0.761

Computed properties:
Total DFT energy (no corrections) (eV/atom): -2.73
Density (g/cm3): 8.0